Sr2LiPb | Alexandria | PBEsol | optimized geometry; energy relative to the elements = -27 kJ per mole of atoms; E_tot = -2.695 eV per atom
1.0
4.029 0.000 0.000
0.000 5.598 -0.322
-2.014 -2.392 6.081
Li Pb Sr
1 1 2
Direct
0.549 0.546 0.097
0.220 0.724 0.440
0.970 0.967 0.939
0.762 0.264 0.524